Run a
12
Lattice="-1.1533 -3.4999 3.1881 4.4728 -1.7214 -2.8620 3.1756 4.5412 4.8374" Properties=species:S:1:pos:R:3 comment="AgPt2 PBEsol optimized geometry" volume_a3_per_cell=184 magmom_total_mub_per_cell=0.00 pbc="T T T"
Pt 3.4435 0.5478 3.5908
Ag 5.6657 -0.3076 2.1799
Pt 3.7161 2.3955 5.6842
Pt 0.1218 -3.0131 3.5288
Ag 3.4927 -0.4006 -1.0892
Pt 6.3732 2.3329 1.6348
Pt 1.5878 2.2706 2.4187
Pt 3.8242 1.4099 0.9877
Pt 3.0516 -1.2280 1.5728
Pt 2.7790 -3.0757 -0.5206
Ag 3.0023 -0.2796 6.2528
Ag 0.8293 -0.3726 2.9836


Run b
3
Lattice="-1.4710 -1.1648 1.9988 -0.4285 -2.1904 -1.5918 6.0477 -0.9384 2.0238" Properties=species:S:1:pos:R:3 comment="AgPt2 PBEsol optimized geometry" volume_a3_per_cell=46 magmom_total_mub_per_cell=0.00 pbc="T T T"
Pt 1.7317 -0.8886 0.7566
Ag -0.9498 -1.6776 0.2035
Pt 2.4165 -3.4050 1.6742


Most stable to least stable: run b, run a


Run a
4
Lattice="3.4775 0.0000 0.0000 0.0000 3.4217 -0.0011 0.0000 1.7107 4.6374" Properties=species:S:1:pos:R:3 comment="Ta2BeSi PBEsol optimized geometry" volume_a3_per_cell=55 magmom_total_mub_per_cell=0.00 pbc="T T T"
Be 0.0000 3.2049 2.2116
Ta 0.0000 4.9203 4.3414
Ta 1.7388 1.4957 1.5152
Si 1.7388 3.2100 3.5227


Run b
4
Lattice="-0.7374 -3.3530 1.4828 0.0732 -1.4863 -3.3245 4.4875 1.6904 1.3384" Properties=species:S:1:pos:R:3 comment="Ta2BeSi PBEsol optimized geometry" volume_a3_per_cell=58 magmom_total_mub_per_cell=0.00 pbc="T T T"
Si 2.1788 -1.1191 -1.4470
Ta 1.6867 -2.0372 0.9479
Be 4.1018 -0.7199 0.4122
Ta 0.0113 -0.0020 0.0011


Most stable to least stable: run a, run b